Entry 1:
Here is a relaxed structure of ScBe2Si from the Alexandria database. Energies are from PBE.

Calculated values
SG: No. 99
N(E_F): 0.65 states/eV/atom
Raw formation energy: 0.00 eV per atom
Calculated volume: 13.1 Å³ per atom
Energy: -19.20 eV per cell

Cell lengths 2.9415, 2.9415, 6.0723 Å; angles 90.00, 90.00, 90.00 degrees
Fractional coordinates of all 4 atoms:
Sc (0.0000, 0.0000, 0.0000)
Be (0.0000, 0.0000, 0.5296)
Be (0.5000, 0.5000, 0.6869)
Si (0.5000, 0.5000, 0.3107)


Entry 2:
Here is a relaxed structure of Mg3GeH from the Alexandria database. Energies are from PBE.

Calculated values
SG: No. 64
N(E_F): 0.17 states/eV/atom
Calculated volume: 19.5 Å³ per atom
Energy: -52.54 eV per cell

Cell lengths 7.1160, 7.1160, 7.8048 Å; angles 90.00, 90.00, 80.73 degrees
Fractional coordinates of all 20 atoms:
Mg (0.0156, 0.3125, 0.5858)
Mg (0.0546, 0.9454, 0.8250)
Mg (0.1875, 0.4844, 0.9142)
Mg (0.3125, 0.0156, 0.4142)
Mg (0.4454, 0.5546, 0.3250)
Mg (0.4844, 0.1875, 0.0858)
Mg (0.5156, 0.8125, 0.9142)
Mg (0.5546, 0.4454, 0.6750)
Mg (0.6875, 0.9844, 0.5858)
Mg (0.8125, 0.5156, 0.0858)
Mg (0.9454, 0.0546, 0.1750)
Mg (0.9844, 0.6875, 0.4142)
Ge (0.1387, 0.3613, 0.2500)
Ge (0.3613, 0.1387, 0.7500)
Ge (0.6387, 0.8613, 0.2500)
Ge (0.8613, 0.6387, 0.7500)
H (0.1029, 0.8971, 0.3534)
H (0.3971, 0.6029, 0.8534)
H (0.6029, 0.3971, 0.1466)
H (0.8971, 0.1029, 0.6466)


Entry 3:
Here is a relaxed structure of Cd2BiPb2 from the Alexandria database. Energies are from PBE.

Calculated values
SG: No. 139
N(E_F): 0.43 states/eV/atom
Formation enthalpy at 0 K: 0.093 eV per atom
Calculated volume: 30.6 Å³ per atom
Energy: -12.66 eV per cell

Cell lengths 9.1304, 9.1304, 9.1304 Å; angles 153.36, 153.36, 38.03 degrees
Fractional coordinates of all 5 atoms:
Cd (0.2500, 0.7500, 0.5000)
Cd (0.7500, 0.2500, 0.5000)
Bi (0.0000, 0.0000, 0.0000)
Pb (0.4019, 0.4019, 0.0000)
Pb (0.5981, 0.5981, 0.0000)


Entry 4:
Here is a relaxed structure of Ir6Ru2Rh3 from the Alexandria database. Energies are from PBE.

Calculated values
SG: No. 15
N(E_F): 1.30 states/eV/atom
Formation enthalpy at 0 K: 0.178 eV per atom
Calculated volume: 15.2 Å³ per atom
Energy: -183.63 eV per cell

Cell lengths 4.6651, 4.6651, 17.8940 Å; angles 97.51, 97.51, 60.00 degrees
Fractional coordinates of all 22 atoms:
Ir (0.0422, 0.8672, 0.6216)
Ir (0.1328, 0.9578, 0.8784)
Ir (0.2121, 0.3667, 0.1214)
Ir (0.2888, 0.4573, 0.3784)
Ir (0.3667, 0.2121, 0.6214)
Ir (0.4573, 0.2888, 0.8784)
Ir (0.5427, 0.7112, 0.1216)
Ir (0.6333, 0.7879, 0.3786)
Ir (0.7112, 0.5427, 0.6216)
Ir (0.7879, 0.6333, 0.8786)
Ir (0.8672, 0.0422, 0.1216)
Ir (0.9578, 0.1328, 0.3784)
Ru (0.1659, 0.6665, 0.0000)
Ru (0.3335, 0.8341, 0.5000)
Ru (0.6665, 0.1659, 0.5000)
Ru (0.8341, 0.3335, 0.0000)
Rh (0.0780, 0.2502, 0.7500)
Rh (0.2502, 0.0780, 0.2500)
Rh (0.4208, 0.5792, 0.7500)
Rh (0.5792, 0.4208, 0.2500)
Rh (0.7498, 0.9220, 0.7500)
Rh (0.9220, 0.7498, 0.2500)


Entry 5:
Here is a relaxed structure of InCuBi3 from the Alexandria database. Energies are from PBE.

Calculated values
SG: No. 221
N(E_F): 0.87 states/eV/atom
Formation enthalpy at 0 K: 0.355 eV per atom
Calculated volume: 30.7 Å³ per atom
Energy: -16.70 eV per cell

Cell lengths 5.3564, 5.3564, 5.3564 Å; angles 90.00, 90.00, 90.00 degrees
Fractional coordinates of all 5 atoms:
In (0.0000, 0.0000, 0.0000)
Cu (0.5000, 0.5000, 0.5000)
Bi (0.0000, 0.5000, 0.5000)
Bi (0.5000, 0.0000, 0.5000)
Bi (0.5000, 0.5000, 0.0000)


Entry 6:
Here is a relaxed structure of CeInHg4 from the Alexandria database. Energies are from PBE.

Calculated values
SG: No. 216
N(E_F): 1.78 states/eV/atom
Formation enthalpy at 0 K: -0.066 eV per atom
Calculated volume: 26.5 Å³ per atom
Energy: -10.28 eV per cell

Cell lengths 6.0821, 6.0821, 6.0821 Å; angles 60.00, 60.00, 60.00 degrees
Fractional coordinates of all 6 atoms:
Ce (0.0000, 0.0000, 0.0000)
In (0.2500, 0.2500, 0.2500)
Hg (0.1245, 0.6252, 0.6252)
Hg (0.6252, 0.1245, 0.6252)
Hg (0.6252, 0.6252, 0.1245)
Hg (0.6252, 0.6252, 0.6252)


Entry 7:
Here is a relaxed structure of La2ScBiO from the Alexandria database. Energies are from PBE.

Calculated values
SG: No. 123
N(E_F): 0.92 states/eV/atom
Raw formation energy: -1.48 eV per atom
Calculated volume: 24.2 Å³ per atom
Energy: -32.41 eV per cell

Cell lengths 5.2495, 5.2495, 4.3883 Å; angles 90.00, 90.00, 90.00 degrees
Fractional coordinates of all 5 atoms:
La (0.0000, 0.5000, 0.0000)
La (0.5000, 0.0000, 0.0000)
Sc (0.0000, 0.0000, 0.5000)
Bi (0.5000, 0.5000, 0.5000)
O (0.0000, 0.0000, 0.0000)


Entry 8:
Here is a relaxed structure of Na6InBi2 from the Alexandria database. Energies are from PBE.

Calculated values
SG: No. 166
N(E_F): 0.39 states/eV/atom
Formation enthalpy at 0 K: -0.247 eV per atom
Calculated volume: 31.7 Å³ per atom
Energy: -20.64 eV per cell

Cell lengths 11.6808, 11.6808, 11.6808 Å; angles 26.77, 26.77, 26.77 degrees
Fractional coordinates of all 9 atoms:
Na (0.0855, 0.0855, 0.0855)
Na (0.2049, 0.2049, 0.2049)
Na (0.3066, 0.3066, 0.3066)
Na (0.6934, 0.6934, 0.6934)
Na (0.7951, 0.7951, 0.7951)
Na (0.9145, 0.9145, 0.9145)
In (0.5000, 0.5000, 0.5000)
Bi (0.4048, 0.4048, 0.4048)
Bi (0.5952, 0.5952, 0.5952)


Entry 9:
Here is a relaxed structure of Hf2Zr3Cd from the Alexandria database. Energies are from PBE.

Calculated values
SG: No. 123
N(E_F): 1.21 states/eV/atom
Formation enthalpy at 0 K: -0.042 eV per atom
Calculated volume: 22.6 Å³ per atom
Energy: -46.72 eV per cell

Cell lengths 3.1715, 3.1715, 13.5087 Å; angles 90.00, 90.00, 90.00 degrees
Fractional coordinates of all 6 atoms:
Hf (0.0000, 0.0000, 0.1677)
Hf (0.0000, 0.0000, 0.8323)
Zr (0.5000, 0.5000, 0.0000)
Zr (0.5000, 0.5000, 0.3307)
Zr (0.5000, 0.5000, 0.6693)
Cd (0.0000, 0.0000, 0.5000)


Entry 10:
Here is a relaxed structure of SmSnPd from the Alexandria database. Energies are from PBE.

Calculated values
SG: No. 187
N(E_F): 0.62 states/eV/atom
Formation enthalpy at 0 K: -0.876 eV per atom
Calculated volume: 23.4 Å³ per atom
Energy: -16.54 eV per cell

Cell lengths 4.7258, 4.7258, 3.6354 Å; angles 90.00, 90.00, 120.00 degrees
Fractional coordinates of all 3 atoms:
Sm (0.0000, 0.0000, 0.0000)
Sn (0.3333, 0.6667, 0.5000)
Pd (0.6667, 0.3333, 0.5000)


Entry 11:
Here is a relaxed structure of FeCo2C6N6 from the Alexandria database. Energies are from PBE.

Calculated values
SG: No. 216
N(E_F): 0.59 states/eV/atom
Raw formation energy: 0.60 eV per atom
Calculated volume: 15.9 Å³ per atom
Energy: -119.03 eV per cell

Cell lengths 6.9546, 6.9546, 6.9546 Å; angles 60.00, 60.00, 60.00 degrees
Fractional coordinates of all 15 atoms:
Fe (0.0000, 0.0000, 0.0000)
Co (0.5000, 0.5000, 0.5000)
Co (0.7500, 0.7500, 0.7500)
C (0.1903, 0.1903, 0.8097)
C (0.1903, 0.8097, 0.1903)
C (0.1903, 0.8097, 0.8097)
C (0.8097, 0.1903, 0.1903)
C (0.8097, 0.1903, 0.8097)
C (0.8097, 0.8097, 0.1903)
N (0.3098, 0.3098, 0.6902)
N (0.3098, 0.6902, 0.3098)
N (0.3098, 0.6902, 0.6902)
N (0.6902, 0.3098, 0.3098)
N (0.6902, 0.3098, 0.6902)
N (0.6902, 0.6902, 0.3098)


Entry 12:
Here is a relaxed structure of K2Se from the Alexandria database. Energies are from PBE.

Calculated values
SG: No. 63
N(E_F): 0.00 states/eV/atom
Raw formation energy: -0.96 eV per atom
Calculated volume: 33.6 Å³ per atom
Energy: -17.12 eV per cell

Cell lengths 8.3953, 8.3953, 5.4299 Å; angles 90.00, 90.00, 148.21 degrees
Fractional coordinates of all 6 atoms:
K (0.0546, 0.9454, 0.7500)
K (0.2575, 0.7425, 0.2500)
K (0.7425, 0.2575, 0.7500)
K (0.9454, 0.0546, 0.2500)
Se (0.3809, 0.6191, 0.7500)
Se (0.6191, 0.3809, 0.2500)